1.
! PBE ZrBe2Al, relaxed; values from VASP
! Formation enthalpy at 0 K = 1.13 eV per formula unit
! DOS at the Fermi energy = 2.0 states/eV/f.u.
! Magnetization = 0.00 μB/cell
! Electronic total energy = -37.227 eV for the cell shown
&SYSTEM
  ibrav = 0, nat = 8, ntyp = 3
/
ATOMIC_SPECIES
Be 9.01 Be.upf
Al 26.98 Al.upf
Zr 91.22 Zr.upf
ATOMIC_POSITIONS crystal
Be 0.3748 0.1250 0.2500
Be 0.3752 0.6250 0.2500
Be 0.3750 0.6252 0.7500
Be 0.8750 0.6248 0.7500
Al 0.5000 0.5000 0.0000
Al 0.2500 0.7500 0.5000
Zr 0.0000 0.0000 0.0000
Zr 0.7500 0.2500 0.5000
CELL_PARAMETERS angstrom
4.0607 0.0000 0.0000
0.0000 4.0607 0.0000
2.0303 2.0303 7.8047

---

2.
! PBE AlBi4, relaxed; values from VASP
! Formation enthalpy at 0 K = 2.33 eV per formula unit
! DOS at the Fermi energy = 4.5 states/eV/f.u.
! Magnetization = 0.00 μB/cell
! Electronic total energy = -16.937 eV for the cell shown
&SYSTEM
  ibrav = 0, nat = 5, ntyp = 2
/
ATOMIC_SPECIES
Al 26.98 Al.upf
Bi 208.98 Bi.upf
ATOMIC_POSITIONS crystal
Al 0.5000 0.5000 0.5000
Bi 0.0000 0.0000 0.0000
Bi 0.5000 0.0000 0.5000
Bi 0.0000 0.5000 0.5000
Bi 0.5000 0.5000 0.0000
CELL_PARAMETERS angstrom
5.4774 0.0000 0.0000
0.0000 5.4774 0.0000
0.0000 0.0000 5.4774

---

3.
! PBE Al6Bi, relaxed; values from VASP
! Formation enthalpy at 0 K = 5.09 eV per formula unit
! DOS at the Fermi energy = 3.8 states/eV/f.u.
! Magnetization = 0.00 μB/cell
! Electronic total energy = -21.250 eV for the cell shown
&SYSTEM
  ibrav = 0, nat = 7, ntyp = 2
/
ATOMIC_SPECIES
Al 26.98 Al.upf
Bi 208.98 Bi.upf
ATOMIC_POSITIONS crystal
Al 0.2500 0.7500 0.5000
Al 0.5000 0.7500 0.2500
Al 0.2500 0.5000 0.7500
Al 0.7500 0.2500 0.5000
Al 0.5000 0.2500 0.7500
Al 0.7500 0.5000 0.2500
Bi 0.0000 0.0000 0.0000
CELL_PARAMETERS angstrom
6.2882 0.0000 0.0000
-2.0961 5.9286 0.0000
-2.0961 -2.9643 5.1343

---

4.
! PBE Al2Bi3, relaxed; values from VASP
! Formation enthalpy at 0 K = 0.89 eV per formula unit
! DOS at the Fermi energy = 1.9 states/eV/f.u.
! Magnetization = 0.00 μB/cell
! Electronic total energy = -36.472 eV for the cell shown
&SYSTEM
  ibrav = 0, nat = 10, ntyp = 2
/
ATOMIC_SPECIES
Bi 208.98 Bi.upf
Al 26.98 Al.upf
ATOMIC_POSITIONS crystal
Bi 0.0960 0.7500 0.7500
Bi 0.7500 0.4040 0.7500
Bi 0.4040 0.0960 0.7500
Bi 0.2500 0.5960 0.2500
Bi 0.5960 0.9040 0.2500
Bi 0.9040 0.2500 0.2500
Al 0.8380 0.8380 0.4860
Al 0.3380 0.3380 0.9860
Al 0.1620 0.1620 0.5140
Al 0.6620 0.6620 0.0140
CELL_PARAMETERS angstrom
8.0301 0.0000 0.0000
4.0150 6.9542 0.0000
4.0150 2.3181 5.1525

---

5.
! PBE AlBi3, relaxed; values from VASP
! Formation enthalpy at 0 K = 0.94 eV per formula unit
! DOS at the Fermi energy = 3.1 states/eV/f.u.
! Magnetization = 0.00 μB/cell
! Electronic total energy = -14.448 eV for the cell shown
&SYSTEM
  ibrav = 0, nat = 4, ntyp = 2
/
ATOMIC_SPECIES
Bi 208.98 Bi.upf
Al 26.98 Al.upf
ATOMIC_POSITIONS crystal
Bi 0.0000 0.5000 0.5000
Bi 0.5000 0.0000 0.5000
Bi 0.5000 0.5000 0.0000
Al 0.0000 0.0000 0.0000
CELL_PARAMETERS angstrom
-0.4684 1.8292 4.5167
-1.1445 -4.4518 1.6843
4.7367 -0.8948 0.8536

---

6.
! PBE Al2Bi, relaxed; values from VASP
! Formation enthalpy at 0 K = 0.67 eV per formula unit
! DOS at the Fermi energy = 1.8 states/eV/f.u.
! Magnetization = 0.00 μB/cell
! Electronic total energy = -21.394 eV for the cell shown
&SYSTEM
  ibrav = 0, nat = 6, ntyp = 2
/
ATOMIC_SPECIES
Bi 208.98 Bi.upf
Al 26.98 Al.upf
ATOMIC_POSITIONS crystal
Bi 0.0000 0.0000 0.0000
Bi 0.2500 0.2500 0.2500
Al 0.1250 0.6250 0.6250
Al 0.6250 0.1250 0.6250
Al 0.6250 0.6250 0.6250
Al 0.6250 0.6250 0.1250
CELL_PARAMETERS angstrom
5.7302 0.0000 0.0000
2.8651 4.9625 0.0000
2.8651 1.6542 4.6787

---

7.
! PBE AlBi3, relaxed; values from VASP
! Formation enthalpy at 0 K = 0.76 eV per formula unit
! DOS at the Fermi energy = 1.5 states/eV/f.u.
! Magnetization = 0.00 μB/cell
! Electronic total energy = -14.630 eV for the cell shown
&SYSTEM
  ibrav = 0, nat = 4, ntyp = 2
/
ATOMIC_SPECIES
Bi 208.98 Bi.upf
Al 26.98 Al.upf
ATOMIC_POSITIONS crystal
Bi 0.0000 0.5000 0.4636
Bi 0.5000 0.5000 0.1651
Bi 0.5000 0.0000 0.7270
Al 0.0000 0.0000 0.9776
CELL_PARAMETERS angstrom
4.1622 0.0000 0.0000
0.0000 3.3426 0.0000
0.0000 0.0000 8.6550

---

8.
! PBE AlBi3, relaxed; values from VASP
! Formation enthalpy at 0 K = 0.57 eV per formula unit
! DOS at the Fermi energy = 2.0 states/eV/f.u.
! Magnetization = 0.00 μB/cell
! Electronic total energy = -14.818 eV for the cell shown
&SYSTEM
  ibrav = 0, nat = 4, ntyp = 2
/
ATOMIC_SPECIES
Bi 208.98 Bi.upf
Al 26.98 Al.upf
ATOMIC_POSITIONS crystal
Bi 0.3090 0.7244 0.6179
Bi 0.5000 0.4171 0.0000
Bi 0.6910 0.1064 0.3821
Al 0.0000 0.9188 0.0000
CELL_PARAMETERS angstrom
-1.7935 -2.5671 2.3371
1.7342 -3.7460 -2.7839
4.9977 2.8629 3.7133

---

9.
! PBE Al2BiBr, relaxed; values from VASP
! DOS at the Fermi energy = 0.9 states/eV/f.u.
! Magnetization = 0.00 μB/cell
! Electronic total energy = -12.498 eV for the cell shown
! ΔE_f (raw) = 0.135 eV/atom
&SYSTEM
  ibrav = 0, nat = 4, ntyp = 3
/
ATOMIC_SPECIES
Bi 208.98 Bi.upf
Br 79.90 Br.upf
Al 26.98 Al.upf
ATOMIC_POSITIONS crystal
Bi 0.5000 0.5000 0.5000
Br 0.0000 0.0000 0.0000
Al 0.2500 0.2500 0.2500
Al 0.7500 0.7500 0.7500
CELL_PARAMETERS angstrom
-0.2991 -5.1218 0.6998
-3.4935 -1.9656 3.2779
-4.0706 -2.6291 -1.8249

---

10.
! PBE AlBi2Br, relaxed; values from VASP
! DOS at the Fermi energy = 1.4 states/eV/f.u.
! Magnetization = 0.00 μB/cell
! Electronic total energy = -25.592 eV for the cell shown
! ΔE_f (raw) = 0.095 eV/atom
&SYSTEM
  ibrav = 0, nat = 8, ntyp = 3
/
ATOMIC_SPECIES
Bi 208.98 Bi.upf
Br 79.90 Br.upf
Al 26.98 Al.upf
ATOMIC_POSITIONS crystal
Bi 0.5909 0.1250 0.2500
Bi 0.1591 0.6250 0.2500
Bi 0.3750 0.4091 0.7500
Bi 0.8750 0.8409 0.7500
Br 0.0000 0.0000 0.0000
Br 0.7500 0.2500 0.5000
Al 0.5000 0.5000 0.0000
Al 0.2500 0.7500 0.5000
CELL_PARAMETERS angstrom
-1.2446 -3.2655 -2.9995
3.4881 1.2023 -2.7562
8.1376 -8.7632 2.6282

---

11.
! PBE AlBiBr2, relaxed; values from VASP
! DOS at the Fermi energy = 4.5 states/eV/f.u.
! Magnetization = 0.00 μB/cell
! Electronic total energy = -10.446 eV for the cell shown
! ΔE_f (raw) = 0.131 eV/atom
&SYSTEM
  ibrav = 0, nat = 4, ntyp = 3
/
ATOMIC_SPECIES
Bi 208.98 Bi.upf
Br 79.90 Br.upf
Al 26.98 Al.upf
ATOMIC_POSITIONS crystal
Bi 0.5000 0.5000 0.5000
Br 0.2500 0.2500 0.2500
Br 0.7500 0.7500 0.7500
Al 0.0000 0.0000 0.0000
CELL_PARAMETERS angstrom
3.8305 -2.8969 -2.4095
1.4047 -4.7864 1.9968
-1.2935 -4.4971 -2.6406

---

12.
! PBE AlBiBr2, relaxed; values from VASP
! DOS at the Fermi energy = 1.0 states/eV/f.u.
! Magnetization = 0.00 μB/cell
! Electronic total energy = -11.697 eV for the cell shown
! ΔE_f (raw) = -0.182 eV/atom
&SYSTEM
  ibrav = 0, nat = 4, ntyp = 3
/
ATOMIC_SPECIES
Bi 208.98 Bi.upf
Br 79.90 Br.upf
Al 26.98 Al.upf
ATOMIC_POSITIONS crystal
Bi 0.0000 0.0000 0.0000
Br 0.9028 0.9028 0.9028
Br 0.0972 0.0972 0.0972
Al 0.5000 0.5000 0.5000
CELL_PARAMETERS angstrom
2.1493 0.0000 10.0267
-1.0747 1.8614 10.0267
-1.0747 -1.8614 10.0267

---

13.
! PBE AlBiBr2, relaxed; values from VASP
! DOS at the Fermi energy = 1.0 states/eV/f.u.
! Magnetization = 0.00 μB/cell
! Electronic total energy = -20.286 eV for the cell shown
! ΔE_f (raw) = 0.207 eV/atom
&SYSTEM
  ibrav = 0, nat = 8, ntyp = 3
/
ATOMIC_SPECIES
Bi 208.98 Bi.upf
Br 79.90 Br.upf
Al 26.98 Al.upf
ATOMIC_POSITIONS crystal
Bi 0.0000 0.0000 0.0000
Bi 0.7500 0.2500 0.5000
Br 0.4815 0.1250 0.2500
Br 0.2685 0.6250 0.2500
Br 0.3750 0.5185 0.7500
Br 0.8750 0.7315 0.7500
Al 0.5000 0.5000 0.0000
Al 0.2500 0.7500 0.5000
CELL_PARAMETERS angstrom
7.6461 0.0000 0.0000
0.0000 7.6461 0.0000
3.8230 3.8230 5.5151

---

14.
! PBE Al2BiBr, relaxed; values from VASP
! DOS at the Fermi energy = 3.0 states/eV/f.u.
! Magnetization = 0.00 μB/cell
! Electronic total energy = -24.087 eV for the cell shown
! ΔE_f (raw) = 0.249 eV/atom
&SYSTEM
  ibrav = 0, nat = 8, ntyp = 3
/
ATOMIC_SPECIES
Bi 208.98 Bi.upf
Br 79.90 Br.upf
Al 26.98 Al.upf
ATOMIC_POSITIONS crystal
Bi 0.0000 0.0000 0.0000
Bi 0.7500 0.2500 0.5000
Br 0.5000 0.5000 0.0000
Br 0.2500 0.7500 0.5000
Al 0.6141 0.1250 0.2500
Al 0.1359 0.6250 0.2500
Al 0.3750 0.3859 0.7500
Al 0.8750 0.8641 0.7500
CELL_PARAMETERS angstrom
5.9096 0.0000 0.0000
0.0000 5.9096 0.0000
2.9548 2.9548 7.7758

---

15.
! PBE AlBi2Br, relaxed; values from VASP
! DOS at the Fermi energy = 2.2 states/eV/f.u.
! Magnetization = 0.00 μB/cell
! Electronic total energy = -12.625 eV for the cell shown
! ΔE_f (raw) = 0.138 eV/atom
&SYSTEM
  ibrav = 0, nat = 4, ntyp = 3
/
ATOMIC_SPECIES
Bi 208.98 Bi.upf
Br 79.90 Br.upf
Al 26.98 Al.upf
ATOMIC_POSITIONS crystal
Bi 0.2500 0.2500 0.2500
Bi 0.7500 0.7500 0.7500
Br 0.5000 0.5000 0.5000
Al 0.0000 0.0000 0.0000
CELL_PARAMETERS angstrom
0.0000 3.7690 3.7690
3.7690 0.0000 3.7690
3.7690 3.7690 0.0000

---

16.
! PBE Al2BiBr8, relaxed; values from VASP
! Magnetization = 1.00 μB/cell
! Electronic total energy = -34.882 eV for the cell shown
! ΔE_f (raw) = -0.921 eV/atom
&SYSTEM
  ibrav = 0, nat = 11, ntyp = 3
/
ATOMIC_SPECIES
Al 26.98 Al.upf
Bi 208.98 Bi.upf
Br 79.90 Br.upf
ATOMIC_POSITIONS crystal
Al 0.6879 0.7924 0.7924
Al 0.3121 0.2076 0.2076
Bi 0.0000 0.0000 0.0000
Br 0.2128 0.2993 0.9210
Br 0.7872 0.0790 0.7007
Br 0.3917 0.7986 0.7986
Br 0.6083 0.2014 0.2014
Br 0.2128 0.9210 0.2993
Br 0.7872 0.7007 0.0790
Br 0.8228 0.6319 0.6319
Br 0.1772 0.3681 0.3681
CELL_PARAMETERS angstrom
-0.6015 -6.6729 3.8590
-2.4103 -4.0944 -6.6329
6.8080 -3.0175 -3.3339

---

17.
! PBE AlBi2Se2BrCl4, relaxed; values from VASP
! Magnetization = 0.00 μB/cell
! Electronic total energy = -74.572 eV for the cell shown
! ΔE_f (raw) = -0.975 eV/atom
&SYSTEM
  ibrav = 0, nat = 20, ntyp = 5
/
ATOMIC_SPECIES
Al 26.98 Al.upf
Bi 208.98 Bi.upf
Se 78.96 Se.upf
Br 79.90 Br.upf
Cl 35.45 Cl.upf
ATOMIC_POSITIONS crystal
Al 0.8317 0.7688 0.5436
Al 0.1683 0.2312 0.4564
Bi 0.7207 0.3866 0.8717
Bi 0.2793 0.6134 0.1283
Bi 0.2796 0.1246 0.1180
Bi 0.7204 0.8754 0.8820
Se 0.5601 0.2931 0.1315
Se 0.4399 0.7069 0.8685
Se 0.4502 0.2061 0.8580
Se 0.5498 0.7939 0.1420
Br 0.0000 0.0000 0.0000
Br 0.0000 0.5000 0.0000
Cl 0.0471 0.6480 0.6650
Cl 0.9529 0.3520 0.3350
Cl 0.9473 0.8402 0.3437
Cl 0.0527 0.1598 0.6563
Cl 0.6490 0.5772 0.5928
Cl 0.3510 0.4228 0.4072
Cl 0.3357 0.9971 0.4018
Cl 0.6643 0.0029 0.5982
CELL_PARAMETERS angstrom
7.0982 -0.0014 0.0393
2.4608 7.9825 0.0021
3.3037 3.3070 10.6418

---

18.
! PBE Cs2AlBiBr6, relaxed; values from VASP
! DOS at the Fermi energy = 0.2 states/eV/f.u.
! Magnetization = 0.00 μB/cell
! Electronic total energy = -30.667 eV for the cell shown
! ΔE_f (raw) = -1.130 eV/atom
&SYSTEM
  ibrav = 0, nat = 10, ntyp = 4
/
ATOMIC_SPECIES
Cs 132.91 Cs.upf
Bi 208.98 Bi.upf
Br 79.90 Br.upf
Al 26.98 Al.upf
ATOMIC_POSITIONS crystal
Cs 0.7500 0.2500 0.5000
Cs 0.2500 0.7500 0.5000
Bi 0.0000 0.0000 0.0000
Br 0.2600 0.2600 0.4800
Br 0.7400 0.7400 0.5200
Br 0.2592 0.2592 0.0000
Br 0.7408 0.7408 0.0000
Br 0.7408 0.2592 0.0000
Br 0.2592 0.7408 0.0000
Al 0.5000 0.5000 0.0000
CELL_PARAMETERS angstrom
8.0868 0.0000 0.0000
0.0000 8.0868 0.0000
4.0434 4.0434 5.7191

---

19.
! PBE AlHg2BiBr, relaxed; values from VASP
! DOS at the Fermi energy = 3.6 states/eV/f.u.
! Magnetization = 0.00 μB/cell
! Electronic total energy = -9.067 eV for the cell shown
! ΔE_f (raw) = 0.167 eV/atom
&SYSTEM
  ibrav = 0, nat = 5, ntyp = 4
/
ATOMIC_SPECIES
Al 26.98 Al.upf
Bi 208.98 Bi.upf
Br 79.90 Br.upf
Hg 200.59 Hg.upf
ATOMIC_POSITIONS crystal
Al 0.0000 0.0000 0.0000
Bi 0.5000 0.5000 0.5000
Br 0.0000 0.5000 0.0000
Hg 0.0000 0.0000 0.5000
Hg 0.5000 0.0000 0.0000
CELL_PARAMETERS angstrom
-1.3071 0.2906 -5.0757
1.0407 -5.1519 -0.5630
-4.9779 -1.1385 1.2167

---

20.
! PBE Al2BiIBr, relaxed; values from VASP
! DOS at the Fermi energy = 2.6 states/eV/f.u.
! Magnetization = 0.00 μB/cell
! Electronic total energy = -12.526 eV for the cell shown
! ΔE_f (raw) = 0.413 eV/atom
&SYSTEM
  ibrav = 0, nat = 5, ntyp = 4
/
ATOMIC_SPECIES
I 126.90 I.upf
Bi 208.98 Bi.upf
Br 79.90 Br.upf
Al 26.98 Al.upf
ATOMIC_POSITIONS crystal
I 0.0000 0.5000 0.0000
Bi 0.0000 0.0000 0.0000
Br 0.5000 0.5000 0.5000
Al 0.0000 0.0000 0.5000
Al 0.5000 0.0000 0.0000
CELL_PARAMETERS angstrom
5.9342 0.0000 0.0000
0.0000 5.9786 0.0000
0.0000 0.0000 5.9342